Record 1
This record from the Alexandria database describes a geometry-optimized KRbPb2 structure. The functional is PBE.

Geometry as CIF:
```
data_KRbPb2
_chemical_formula_sum 'K2 Rb2 Pb4'
_cell_length_a 7.973
_cell_length_b 7.973
_cell_length_c 7.973
_cell_angle_alpha 99.42
_cell_angle_beta 99.42
_cell_angle_gamma 132.27
_symmetry_space_group_name_H-M 'P 1'
_symmetry_Int_Tables_number 1
_symmetry_space_group_name_Hall 'P 1'
loop_
_atom_site_label
_atom_site_type_symbol
_atom_site_fract_x
_atom_site_fract_y
_atom_site_fract_z
_atom_site_occupancy
K1 K 0.000 0.000 0.000 1
K2 K 0.750 0.250 0.500 1
Rb1 Rb 0.250 0.750 0.500 1
Rb2 Rb 0.500 0.500 0.000 1
Pb1 Pb 0.116 0.125 0.491 1
Pb2 Pb 0.375 0.884 0.009 1
Pb3 Pb 0.634 0.625 0.509 1
Pb4 Pb 0.875 0.366 0.991 1
```

Calculated values
The value obtained for the density of states at the Fermi level is 0.711 states/eV/atom. The value obtained for the formation energy is 0.136 eV/atom. Its symmetry is I-42d.

Record 2
This record from the Alexandria database describes a geometry-optimized K4Rb3Pb structure. The functional is PBE.

Geometry as CIF:
```
data_K4Rb3Pb
_chemical_formula_sum 'K4 Rb3 Pb1'
_cell_length_a 9.550
_cell_length_b 9.550
_cell_length_c 9.550
_cell_angle_alpha 128.67
_cell_angle_beta 82.93
_cell_angle_gamma 119.89
_symmetry_space_group_name_H-M 'P 1'
_symmetry_Int_Tables_number 1
_symmetry_space_group_name_Hall 'P 1'
loop_
_atom_site_label
_atom_site_type_symbol
_atom_site_fract_x
_atom_site_fract_y
_atom_site_fract_z
_atom_site_occupancy
K1 K 0.153 0.000 0.153 1
K2 K 0.374 0.123 0.750 1
K3 K 0.374 0.624 0.250 1
K4 K 0.847 0.000 0.847 1
Rb1 Rb 0.328 0.574 0.754 1
Rb2 Rb 0.785 0.285 0.500 1
Rb3 Rb 0.821 0.574 0.246 1
Pb1 Pb 0.699 0.699 0.000 1
```

Calculated values
The value obtained for the density of states at the Fermi level is 0.708 states/eV/atom. The value obtained for the formation energy is 0.009 eV/atom. Its symmetry is Imm2.

Record 3
This record from the Alexandria database describes a geometry-optimized K2RbPb2 structure. The functional is PBE.

Geometry as CIF:
```
data_K2RbPb2
_chemical_formula_sum 'K4 Rb2 Pb4'
_cell_length_a 10.261
_cell_length_b 10.261
_cell_length_c 4.132
_cell_angle_alpha 90.00
_cell_angle_beta 90.00
_cell_angle_gamma 90.00
_symmetry_space_group_name_H-M 'P 1'
_symmetry_Int_Tables_number 1
_symmetry_space_group_name_Hall 'P 1'
loop_
_atom_site_label
_atom_site_type_symbol
_atom_site_fract_x
_atom_site_fract_y
_atom_site_fract_z
_atom_site_occupancy
K1 K 0.184 0.316 0.000 1
K2 K 0.316 0.816 0.000 1
K3 K 0.684 0.184 0.000 1
K4 K 0.816 0.684 0.000 1
Rb1 Rb 0.000 0.000 0.500 1
Rb2 Rb 0.500 0.500 0.500 1
Pb1 Pb 0.107 0.607 0.500 1
Pb2 Pb 0.393 0.107 0.500 1
Pb3 Pb 0.607 0.893 0.500 1
Pb4 Pb 0.893 0.393 0.500 1
```

Calculated values
The value obtained for the density of states at the Fermi level is 0.494 states/eV/atom. The value obtained for the formation energy is -0.076 eV/atom. Its symmetry is P4/mbm.

Record 4
This record from the Alexandria database describes a geometry-optimized K2RbPb2 structure. The functional is PBE.

Geometry as CIF:
```
data_K2RbPb2
_chemical_formula_sum 'K2 Rb1 Pb2'
_cell_length_a 8.372
_cell_length_b 8.372
_cell_length_c 8.372
_cell_angle_alpha 139.07
_cell_angle_beta 139.07
_cell_angle_gamma 59.26
_symmetry_space_group_name_H-M 'P 1'
_symmetry_Int_Tables_number 1
_symmetry_space_group_name_Hall 'P 1'
loop_
_atom_site_label
_atom_site_type_symbol
_atom_site_fract_x
_atom_site_fract_y
_atom_site_fract_z
_atom_site_occupancy
K1 K 0.250 0.750 0.500 1
K2 K 0.750 0.250 0.500 1
Rb1 Rb 0.000 0.000 0.000 1
Pb1 Pb 0.403 0.403 0.000 1
Pb2 Pb 0.597 0.597 0.000 1
```

Calculated values
The value obtained for the density of states at the Fermi level is 0.802 states/eV/atom. The value obtained for the formation energy is -0.067 eV/atom. Its symmetry is I4/mmm.

Record 5
This record from the Alexandria database describes a geometry-optimized KRb2RhPb structure. The functional is PBE.

Geometry as CIF:
```
data_KRb2RhPb
_chemical_formula_sum 'K1 Rb2 Rh1 Pb1'
_cell_length_a 6.534
_cell_length_b 6.534
_cell_length_c 5.021
_cell_angle_alpha 90.00
_cell_angle_beta 90.00
_cell_angle_gamma 90.00
_symmetry_space_group_name_H-M 'P 1'
_symmetry_Int_Tables_number 1
_symmetry_space_group_name_Hall 'P 1'
loop_
_atom_site_label
_atom_site_type_symbol
_atom_site_fract_x
_atom_site_fract_y
_atom_site_fract_z
_atom_site_occupancy
K1 K 0.000 0.000 0.000 1
Rb1 Rb 0.000 0.500 0.000 1
Rb2 Rb 0.500 0.000 0.000 1
Rh1 Rh 0.000 0.000 0.500 1
Pb1 Pb 0.500 0.500 0.500 1
```

Calculated values
The value obtained for the density of states at the Fermi level is 1.262 states/eV/atom. The value obtained for the formation energy is 0.852 eV/atom. Its symmetry is P4/mmm.

Record 6
This record from the Alexandria database describes a geometry-optimized KRbPb2S structure. The functional is PBE.

Geometry as CIF:
```
data_KRbPb2S
_chemical_formula_sum 'K1 Rb1 Pb2 S1'
_cell_length_a 6.076
_cell_length_b 6.076
_cell_length_c 6.464
_cell_angle_alpha 90.00
_cell_angle_beta 90.00
_cell_angle_gamma 90.00
_symmetry_space_group_name_H-M 'P 1'
_symmetry_Int_Tables_number 1
_symmetry_space_group_name_Hall 'P 1'
loop_
_atom_site_label
_atom_site_type_symbol
_atom_site_fract_x
_atom_site_fract_y
_atom_site_fract_z
_atom_site_occupancy
K1 K 0.000 0.000 0.000 1
Rb1 Rb 0.000 0.000 0.500 1
Pb1 Pb 0.000 0.500 0.000 1
Pb2 Pb 0.500 0.000 0.000 1
S1 S 0.500 0.500 0.500 1
```

Calculated values
The value obtained for the density of states at the Fermi level is 1.049 states/eV/atom. Its symmetry is P4/mmm. The formation energy without anion corrections comes out at 0.80 eV per atom.